Entry 1:
Computed, not measured: a PBEsol-optimized structure of Li2FeRh at the SCAN level of DFT.

space-group type: No. 122
VASP energy: -13.859 eV/atom
ΔH_f (0 K): 0.312 eV/atom
density: 5.46 g cm⁻³

abc: 4.820 5.255 5.255
angles: 77.86 62.70 62.70
Last column: magnetic moment on the atom in μB.
Fractional positions:
Li1 0.875 0.499 0.001  -0.03
Fe1 0.500 0.000 0.000  3.17
Rh1 0.750 0.500 0.500  0.68
Li2 0.124 0.001 0.501  -0.03
Fe2 0.250 0.500 0.500  3.17
Rh2 0.000 0.000 0.000  0.68
Li3 0.375 0.501 0.999  -0.03
Li4 0.626 0.999 0.499  -0.03

=====

Entry 2:
Computed, not measured: a PBEsol-optimized structure of Mg2Zr5O12 at the SCAN level of DFT.

formation energy from raw total energies: -3.58 eV/atom
space-group type: No. 2
VASP energy: -16.122 eV/atom
density: 5.26 g cm⁻³

abc: 6.046 6.157 12.375
angles: 99.57 99.39 98.92
Fractional positions:
O1 0.088 0.326 0.719
O2 0.059 0.892 0.590
O3 0.070 0.319 0.215
O4 0.187 0.578 0.461
O5 0.424 0.180 0.544
Zr1 0.386 0.854 0.589
O6 0.064 0.919 0.090
O7 0.448 0.586 0.665
Zr2 0.865 0.700 0.948
O8 0.576 0.820 0.456
Zr3 0.322 0.611 0.819
Mg1 0.860 0.680 0.453
Zr4 0.702 0.384 0.680
Mg2 0.598 0.138 0.909
O9 0.912 0.674 0.281
O10 0.571 0.813 0.959
Zr5 0.135 0.300 0.052
O11 0.412 0.580 0.160
O12 0.941 0.108 0.410
Zr6 0.014 0.007 0.748
O13 0.338 0.936 0.788
O14 0.930 0.681 0.785
Mg3 0.402 0.862 0.091
O15 0.813 0.422 0.539
Zr7 0.986 0.993 0.252
O16 0.662 0.064 0.212
Mg4 0.140 0.320 0.547
O17 0.936 0.081 0.910
O18 0.588 0.420 0.840
O19 0.311 0.948 0.309
Zr8 0.678 0.389 0.181
Zr9 0.614 0.146 0.411
O20 0.552 0.414 0.335
O21 0.429 0.187 0.041
O22 0.828 0.452 0.047
O23 0.689 0.052 0.691
O24 0.172 0.548 0.953
Zr10 0.298 0.616 0.320

=====

Entry 3:
Computed, not measured: a PBEsol-optimized structure of YTmAl2 at the SCAN level of DFT.

space-group type: No. 225
VASP energy: -24.218 eV/atom
ΔH_f (0 K): -0.423 eV/atom
density: 5.87 g cm⁻³

abc: 4.997 4.997 4.997
angles: 60.00 60.00 60.00
Fractional positions:
Y1 0.000 0.000 0.000
Tm1 0.500 0.500 0.500
Al1 0.250 0.250 0.250
Al2 0.750 0.750 0.750